# 1
Material: Ce4ScP5
Method: DFT, PBE-GGA
State: relaxed

**Energy of formation from the pure elements**: -1.47 eV per atom

Cell: 6.974 6.974 6.974 Å, 99.67 99.67 131.61°
Element x y z (fractional)
Ce  0.097  0.300  0.397
Ce  0.300  0.903  0.202
Ce  0.700  0.097  0.798
Ce  0.903  0.700  0.603
Sc  0.500  0.500  0.000
P  0.000  0.000  0.000
P  0.210  0.597  0.807
P  0.403  0.210  0.612
P  0.597  0.790  0.388
P  0.790  0.403  0.193

# 2
Material: Na2HfPt
Method: DFT, PBE-GGA
State: relaxed

**Energy of formation from the pure elements**: 0.61 eV per atom

Cell: 6.790 6.790 6.790 Å, 90.00 90.00 90.00°
Element x y z (fractional)
Na  0.250  0.250  0.250
Na  0.250  0.250  0.750
Na  0.250  0.750  0.250
Na  0.250  0.750  0.750
Na  0.750  0.250  0.250
Na  0.750  0.250  0.750
Na  0.750  0.750  0.250
Na  0.750  0.750  0.750
Hf  0.000  0.000  0.000
Hf  0.000  0.500  0.500
Hf  0.500  0.000  0.500
Hf  0.500  0.500  0.000
Pt  0.000  0.000  0.500
Pt  0.000  0.500  0.000
Pt  0.500  0.000  0.000
Pt  0.500  0.500  0.500

# 3
Material: Nd4Dy2Sn3O2
Method: DFT, PBE-GGA
State: relaxed

**Formation energy from raw total energies**: -1.46 eV per atom

Cell: 13.179 13.179 13.179 Å, 159.00 159.00 29.88°
Element x y z (fractional)
Nd  0.084  0.584  0.500
Nd  0.416  0.916  0.500
Nd  0.584  0.084  0.500
Nd  0.916  0.416  0.500
Dy  0.194  0.194  0.000
Dy  0.806  0.806  0.000
Sn  0.320  0.320  0.000
Sn  0.500  0.500  0.000
Sn  0.680  0.680  0.000
O  0.106  0.106  0.000
O  0.894  0.894  0.000

# 4
Material: Ta2MnFe5B2
Method: DFT, PBE-GGA
State: relaxed

**Energy of formation from the pure elements**: -0.37 eV per atom

Cell: 8.582 8.582 2.959 Å, 90.00 90.00 90.00°
Element x y z (fractional)
Ta  0.177  0.323  0.000
Ta  0.323  0.823  0.000
Ta  0.677  0.177  0.000
Ta  0.823  0.677  0.000
Mn  0.000  0.000  0.000
Mn  0.500  0.500  0.000
Fe  0.000  0.500  0.500
Fe  0.069  0.782  0.500
Fe  0.218  0.069  0.500
Fe  0.282  0.569  0.500
Fe  0.431  0.282  0.500
Fe  0.500  0.000  0.500
Fe  0.569  0.718  0.500
Fe  0.718  0.431  0.500
Fe  0.782  0.931  0.500
Fe  0.931  0.218  0.500
B  0.120  0.620  0.000
B  0.380  0.120  0.000
B  0.620  0.880  0.000
B  0.880  0.380  0.000

# 5
Material: SrFeHg2
Method: DFT, PBE-GGA
State: relaxed

**Energy of formation from the pure elements**: 0.15 eV per atom

Cell: 4.043 4.918 5.451 Å, 90.00 90.00 90.00°
Element x y z (fractional)
Sr  0.000  0.000  0.000
Fe  0.500  0.500  0.716
Hg  0.500  0.000  0.524
Hg  0.500  0.500  0.212

# 6
Material: LaNd3Dy3Te8
Method: DFT, PBE-GGA
State: relaxed

**Formation energy from raw total energies**: -1.43 eV per atom

Cell: 8.848 8.848 8.848 Å, 59.90 59.90 59.90°
Element x y z (fractional)
La  0.000  0.000  0.000
Nd  0.000  0.000  0.500
Nd  0.000  0.500  0.000
Nd  0.500  0.000  0.000
Dy  0.000  0.500  0.500
Dy  0.500  0.000  0.500
Dy  0.500  0.500  0.000
Te  0.254  0.254  0.254
Te  0.261  0.261  0.731
Te  0.261  0.731  0.261
Te  0.269  0.739  0.739
Te  0.731  0.261  0.261
Te  0.739  0.269  0.739
Te  0.739  0.739  0.269
Te  0.746  0.746  0.746

# 7
Material: Li2YSc
Method: DFT, PBE-GGA
State: relaxed

**Energy of formation from the pure elements**: 0.21 eV per atom

Cell: 3.185 5.237 5.972 Å, 90.00 98.73 90.00°
Element x y z (fractional)
Li  0.235  0.000  0.266
Li  0.765  0.000  0.734
Y  0.500  0.500  0.000
Sc  0.000  0.500  0.500

# 8
Material: Th6Te3Ir2Pt
Method: DFT, PBE-GGA
State: relaxed

**Formation energy from raw total energies**: -1.16 eV per atom

Cell: 7.306 7.306 8.068 Å, 98.69 98.69 120.02°
Element x y z (fractional)
Th  0.092  0.431  0.795
Th  0.228  0.228  0.205
Th  0.431  0.092  0.795
Th  0.569  0.908  0.205
Th  0.772  0.772  0.795
Th  0.908  0.569  0.205
Te  0.000  0.000  0.500
Te  0.335  0.665  0.500
Te  0.665  0.335  0.500
Ir  0.167  0.833  0.000
Ir  0.833  0.167  0.000
Pt  0.500  0.500  0.000

# 9
Material: TaGaCoRe2
Method: DFT, PBE-GGA
State: relaxed

**Energy of formation from the pure elements**: 2.02 eV per atom

Cell: 4.817 4.817 4.456 Å, 90.00 90.00 90.00°
Element x y z (fractional)
Ta  0.000  0.000  0.000
Ga  0.500  0.500  0.500
Co  0.000  0.000  0.500
Re  0.000  0.500  0.000
Re  0.500  0.000  0.000

# 10
Material: BaCd2Pb
Method: DFT, PBE-GGA
State: relaxed

**Energy of formation from the pure elements**: -0.17 eV per atom

Cell: 4.957 6.629 8.394 Å, 90.00 90.00 90.00°
Element x y z (fractional)
Ba  0.000  0.000  0.000
Ba  0.000  0.500  0.500
Cd  0.000  0.000  0.488
Cd  0.000  0.500  0.988
Cd  0.500  0.000  0.312
Cd  0.500  0.500  0.812
Pb  0.500  0.000  0.695
Pb  0.500  0.500  0.195

# 11
Material: Sc2FePt
Method: DFT, PBE-GGA
State: relaxed

**Energy of formation from the pure elements**: -0.39 eV per atom

Cell: 6.442 6.442 6.442 Å, 90.00 90.00 90.00°
Element x y z (fractional)
Sc  0.000  0.000  0.000
Sc  0.000  0.500  0.500
Sc  0.250  0.250  0.250
Sc  0.250  0.750  0.750
Sc  0.500  0.000  0.500
Sc  0.500  0.500  0.000
Sc  0.750  0.250  0.750
Sc  0.750  0.750  0.250
Fe  0.000  0.000  0.500
Fe  0.000  0.500  0.000
Fe  0.500  0.000  0.000
Fe  0.500  0.500  0.500
Pt  0.250  0.250  0.750
Pt  0.250  0.750  0.250
Pt  0.750  0.250  0.250
Pt  0.750  0.750  0.750

# 12
Material: Hf3MnPt12
Method: DFT, PBE-GGA
State: relaxed

**Energy of formation from the pure elements**: -0.93 eV per atom

Cell: 4.009 4.009 16.041 Å, 90.00 90.00 90.00°
Element x y z (fractional)
Hf  0.000  0.000  0.000
Hf  0.000  0.000  0.256
Hf  0.000  0.000  0.744
Mn  0.000  0.000  0.500
Pt  0.000  0.500  0.126
Pt  0.000  0.500  0.377
Pt  0.000  0.500  0.623
Pt  0.000  0.500  0.874
Pt  0.500  0.000  0.126
Pt  0.500  0.000  0.377
Pt  0.500  0.000  0.623
Pt  0.500  0.000  0.874
Pt  0.500  0.500  0.000
Pt  0.500  0.500  0.251
Pt  0.500  0.500  0.500
Pt  0.500  0.500  0.749